Here is an optimized crystal structure of LiErSeO from the Open Quantum Materials Database. Energies are from PBE-GGA.

Computed properties:
energy: -97.123 eV for the cell shown
space group: P2_1, No. 4
calculated volume: 18.45 A^3/atom
crystal system: monoclinic

Cell: 5.4875 5.4787 10.2722 Å, 90.00 107.07 90.00°
Fractional positions:
O: 0.7497 0.0951 0.9997
Li: 0.4407 0.6114 0.4110
O: 0.2502 0.0943 0.0000
Se: 0.1008 0.1292 0.6692
Er: 0.5581 0.3466 0.1094
Er: 0.0576 0.8468 0.1095
Se: 0.8992 0.6292 0.3308
Se: 0.5978 0.6263 0.6693
Li: 0.0226 0.6501 0.5883
Er: 0.9424 0.3468 0.8905
O: 0.2503 0.5951 0.0003
O: 0.7498 0.5943 0.0000
Li: 0.5593 0.1114 0.5890
Li: 0.9774 0.1501 0.4117
Se: 0.4022 0.1263 0.3307
Er: 0.4419 0.8466 0.8906